DFT (GGA+U) results for a geometry-optimized Sr4MgMn2Ga2O11 structure.

Summary:
* VASP energy: -6.34 eV/atom
* distance to the lowest polymorph of the same formula: 0.043 eV/atom
* M_tot: 0.458 μB/atom
* density of states at the Fermi level: 0.15 states/eV/atom

abc: 8.928 5.876 8.835
angles: 71.54 38.63 69.83
Fractional coordinates of all 20 atoms:
Sr1 0.135 0.865 0.135
Sr2 0.365 0.666 0.334
Sr3 0.666 0.365 0.635
Sr4 0.865 0.135 0.865
Mg1 0.693 0.693 0.307
Mn1 0.258 0.258 0.242
Mn2 0.758 0.758 0.742
Ga1 0.094 0.478 0.906
Ga2 0.478 0.094 0.522
O1 0.008 0.008 0.492
O2 0.023 0.486 0.514
O3 0.038 0.490 0.158
O4 0.162 0.162 0.838
O5 0.352 0.643 0.648
O6 0.486 0.023 0.977
O7 0.490 0.038 0.314
O8 0.508 0.508 0.992
O9 0.643 0.352 0.357
O10 0.686 0.842 0.510
O11 0.842 0.686 0.962